a.
The following is a PBE calculation of an optimized crystal structure of AcSc2Cd, from Alexandria.

a = 3.636 Å, b = 3.636 Å, c = 8.383 Å
α = 90.00°, β = 90.00°, γ = 90.00°
Positions (direct):
Sc 0.000 0.000 0.203
Sc 0.000 0.000 0.797
Ac 0.500 0.500 0.500
Cd 0.500 0.500 0.000

Calculated values
Density of states at the Fermi level   5.9 states/eV per cell
Calculated volume   27.703 Å³ per atom



b.
The following is a PBE calculation of an optimized crystal structure of AcSc2Cd, from Alexandria.

a = 5.378 Å, b = 5.378 Å, c = 5.378 Å
α = 60.00°, β = 60.00°, γ = 60.00°
Positions (direct):
Cd 0.000 0.000 0.000
Sc 0.250 0.250 0.250
Sc 0.750 0.750 0.750
Ac 0.500 0.500 0.500

Calculated values
Density of states at the Fermi level   7.6 states/eV per cell
Calculated volume   27.492 Å³ per atom



Stability, lowest: b



a.
The following is a PBE calculation of an optimized crystal structure of Ac2ScCd, from Alexandria.

a = 5.764 Å, b = 5.764 Å, c = 5.764 Å
α = 60.00°, β = 60.00°, γ = 60.00°
Positions (direct):
Sc 0.000 0.000 0.000
Cd 0.500 0.500 0.500
Ac 0.250 0.250 0.250
Ac 0.750 0.750 0.750

Calculated values
Density of states at the Fermi level   4.8 states/eV per cell
Calculated volume   33.850 Å³ per atom



b.
The following is a PBE calculation of an optimized crystal structure of Ac2ScCd, from Alexandria.

a = 3.717 Å, b = 3.717 Å, c = 12.726 Å
α = 81.60°, β = 81.60°, γ = 60.00°
Positions (direct):
Ac 0.908 0.908 0.277
Ac 0.092 0.092 0.723
Sc 0.500 0.500 0.500
Cd 0.000 0.000 0.000

Calculated values
Density of states at the Fermi level   4.9 states/eV per cell
Calculated volume   37.526 Å³ per atom



Stability, lowest: b



a.
The following is a PBE calculation of an optimized crystal structure of AcCdSi, from Alexandria.

a = 4.044 Å, b = 4.927 Å, c = 8.660 Å
α = 106.53°, β = 103.50°, γ = 90.00°
Positions (direct):
Cd 0.040 0.291 0.581
Cd 0.960 0.709 0.419
Ac 0.644 0.894 0.788
Ac 0.356 0.106 0.212
Si 0.791 0.542 0.083
Si 0.209 0.458 0.917

Calculated values
Density of states at the Fermi level   3.0 states/eV per cell
Calculated volume   26.742 Å³ per atom



b.
The following is a PBE calculation of an optimized crystal structure of AcCdSi, from Alexandria.

a = 5.005 Å, b = 5.005 Å, c = 5.005 Å
α = 60.00°, β = 60.00°, γ = 60.00°
Positions (direct):
Ac 0.500 0.500 0.500
Si 0.250 0.250 0.250
Cd 0.000 0.000 0.000

Calculated values
Density of states at the Fermi level   2.0 states/eV per cell
Calculated volume   29.548 Å³ per atom



c.
The following is a PBE calculation of an optimized crystal structure of AcCdSi, from Alexandria.

a = 4.597 Å, b = 4.542 Å, c = 4.542 Å
α = 120.00°, β = 90.00°, γ = 90.00°
Positions (direct):
Si 0.166 0.000 0.000
Ac 0.667 0.667 0.333
Cd 0.167 0.333 0.667

Calculated values
Density of states at the Fermi level   2.2 states/eV per cell
Calculated volume   27.380 Å³ per atom



Stability, lowest: b